1.
Ba8Ag3PtI4: relaxed, PBE.

For the total energy, the calculation gives -3.145 eV per atom.

The space group is R-3m (No. 166, hexagonal axes) and the conventional cell measures 9.5179, 9.5179 and 26.6853 Å, with angles of 90.00, 90.00 and 120.00 degrees. The distinct sites, in fractional coordinates, are Ba at (0.0000, 0.0000, 0.2388), Ba at (0.0159, 0.5079, 0.2356), Ag at (0.0000, 0.5000, 0.5000), Pt at (0.0000, 0.0000, 0.5000), I at (0.0000, 0.0000, 0.0000) and I at (0.0000, 0.5000, 0.0000).

***

2.
Ba4AgPtI2: relaxed, PBE.

For the total energy, the calculation gives -3.431 eV per atom.

The space group is P2/m (No. 10) and the conventional cell measures 8.194, 4.705 and 9.224 Å, with angles of 90.00, 106.95 and 90.00 degrees. The distinct sites, in fractional coordinates, are Ba at (0.220, 0.000, 0.202), Ba at (0.247, 0.500, 0.791), Ag at (0.500, 0.000, 0.000), Pt at (0.000, 0.500, 0.000), I at (0.000, 0.000, 0.500) and I at (0.500, 0.500, 0.500).

***

3.
Ba6AgPt2I3: relaxed, PBE.

For the total energy, the calculation gives -3.630 eV per atom.

The space group is C2/m (No. 12) and the conventional cell measures 8.129, 14.075 and 9.191 Å, with angles of 90.00, 107.16 and 90.00 degrees. The distinct sites, in fractional coordinates, are Ba at (0.214, 0.000, 0.203), Ba at (0.246, 0.323, 0.205), Ag at (0.000, 0.500, 0.000), Pt at (0.000, 0.167, 0.000), I at (0.000, 0.000, 0.500) and I at (0.000, 0.337, 0.500).

***

4.
Rb2BaAg2I6: relaxed, PBE.

For the total energy, the calculation gives -2.793 eV per atom.

The space group is C2/m (No. 12) and the conventional cell measures 15.373, 8.990 and 8.981 Å, with angles of 90.00, 119.10 and 90.00 degrees. The distinct sites, in fractional coordinates, are Rb at (0.238, 0.000, 0.192), Ba at (0.000, 0.000, 0.500), Ag at (0.046, 0.500, 0.197), I at (0.071, 0.251, 0.832) and I at (0.248, 0.000, 0.609).

***

5.
Ba6Ag2RhI: relaxed, PBE.

For the total energy, the calculation gives -3.032 eV per atom.

The space group is P2_1/c (No. 14) and the conventional cell measures 8.150, 9.170 and 14.182 Å, with angles of 90.00, 122.05 and 90.00 degrees. The distinct sites, in fractional coordinates, are Ba at (0.074, 0.055, 0.233), Ba at (0.221, 0.705, 0.077), Ba at (0.378, 0.158, 0.067), Ag at (0.305, 0.113, 0.753), Rh at (0.000, 0.000, 0.000) and I at (0.500, 0.000, 0.500).

***

6.
Ba4AgRhI2: relaxed, PBE.

For the total energy, the calculation gives -3.429 eV per atom.

The space group is P2/m (No. 10) and the conventional cell measures 8.198, 4.672 and 9.138 Å, with angles of 90.00, 106.61 and 90.00 degrees. The distinct sites, in fractional coordinates, are Ba at (0.216, 0.000, 0.202), Ba at (0.240, 0.500, 0.791), Ag at (0.500, 0.000, 0.000), Rh at (0.000, 0.500, 0.000), I at (0.000, 0.000, 0.500) and I at (0.500, 0.500, 0.500).

***

7.
Ba8Ag3RhI4: relaxed, PBE.

For the total energy, the calculation gives -3.145 eV per atom.

The space group is R-3m (No. 166, hexagonal axes) and the conventional cell measures 9.4873, 9.4873 and 26.6284 Å, with angles of 90.00, 90.00 and 120.00 degrees. The distinct sites, in fractional coordinates, are Ba at (0.0000, 0.0000, 0.2395), Ba at (0.0205, 0.5103, 0.2355), Ag at (0.0000, 0.5000, 0.5000), Rh at (0.0000, 0.0000, 0.5000), I at (0.0000, 0.0000, 0.0000) and I at (0.0000, 0.5000, 0.0000).

***

8.
Ba6AgSb2I3: relaxed, PBE.

For the total energy, the calculation gives -3.430 eV per atom.

The space group is C2/m (No. 12) and the conventional cell measures 8.654, 14.987 and 8.952 Å, with angles of 90.00, 108.94 and 90.00 degrees. The distinct sites, in fractional coordinates, are Ba at (0.238, 0.000, 0.225), Ba at (0.242, 0.332, 0.222), Ag at (0.000, 0.500, 0.000), Sb at (0.000, 0.166, 0.000), I at (0.000, 0.000, 0.500) and I at (0.000, 0.329, 0.500).

***

9.
Ba8AgSb3I4: relaxed, PBE.

For the total energy, the calculation gives -3.518 eV per atom.

The space group is R-3m (No. 166, hexagonal axes) and the conventional cell measures 10.0741, 10.0741 and 25.2535 Å, with angles of 90.00, 90.00 and 120.00 degrees. The distinct sites, in fractional coordinates, are Ba at (0.0000, 0.0000, 0.2396), Ba at (0.0017, 0.5009, 0.7598), Ag at (0.0000, 0.0000, 0.5000), Sb at (0.0000, 0.5000, 0.5000), I at (0.0000, 0.0000, 0.0000) and I at (0.0000, 0.5000, 0.0000).

***

10.
BaAg2SbI: relaxed, PBE.

For the total energy, the calculation gives -2.479 eV per atom.

The space group is P4/mmm (No. 123) and the conventional cell measures 5.449, 5.449 and 6.397 Å, with angles of 90.00, 90.00 and 90.00 degrees. The distinct sites, in fractional coordinates, are Ba at (0.000, 0.000, 0.000), Ag at (0.000, 0.500, 0.500), Sb at (0.500, 0.500, 0.000) and I at (0.500, 0.500, 0.500).

***

11.
Ba4AgSbI2: relaxed, PBE.

For the total energy, the calculation gives -3.272 eV per atom.

The space group is P2/m (No. 10) and the conventional cell measures 8.577, 4.970 and 8.979 Å, with angles of 90.00, 108.03 and 90.00 degrees. The distinct sites, in fractional coordinates, are Ba at (0.239, 0.000, 0.224), Ba at (0.259, 0.500, 0.779), Ag at (0.000, 0.500, 0.000), Sb at (0.500, 0.000, 0.000), I at (0.000, 0.000, 0.500) and I at (0.500, 0.500, 0.500).

***

12.
Ba6AgSe2I3: relaxed, PBE.

For the total energy, the calculation gives -3.542 eV per atom.

The space group is C2/m (No. 12) and the conventional cell measures 8.403, 14.563 and 8.723 Å, with angles of 90.00, 108.78 and 90.00 degrees. The distinct sites, in fractional coordinates, are Ba at (0.234, 0.000, 0.214), Ba at (0.240, 0.331, 0.215), Ag at (0.000, 0.500, 0.000), Se at (0.000, 0.167, 0.000), I at (0.000, 0.000, 0.500) and I at (0.000, 0.332, 0.500).

***

Number 1: DOS(E_F) 0.71 states/eV per atom, ΔE_f (raw) -0.88 eV per atom. Number 2: DOS(E_F) 0.82 states/eV per atom, ΔE_f (raw) -0.97 eV per atom. Number 3: DOS(E_F) 0.75 states/eV per atom, ΔE_f (raw) -1.04 eV per atom. Number 4: DOS(E_F) 0.00 states/eV per atom, ΔE_f (raw) -1.08 eV per atom. Number 5: DOS(E_F) 0.67 states/eV per atom, ΔE_f (raw) -0.42 eV per atom. Number 6: DOS(E_F) 0.69 states/eV per atom, ΔE_f (raw) -0.80 eV per atom. Number 7: DOS(E_F) 0.80 states/eV per atom, ΔE_f (raw) -0.80 eV per atom. Number 8: DOS(E_F) 0.62 states/eV per atom, ΔE_f (raw) -1.16 eV per atom. Number 9: DOS(E_F) 0.46 states/eV per atom, ΔE_f (raw) -1.22 eV per atom. Number 10: DOS(E_F) 0.54 states/eV per atom, ΔE_f (raw) 0.18 eV per atom. Number 11: DOS(E_F) 0.78 states/eV per atom, ΔE_f (raw) -1.05 eV per atom. Number 12: DOS(E_F) 0.59 states/eV per atom, ΔE_f (raw) -1.37 eV per atom.